# 1
{
  "formula": "SrLiPb2",
  "functional": "SCAN",
  "state": "single point on PBEsol structure",
  "lattice_angstrom": [[4.7723, 0.0000, 0.0000], [2.3861, 4.1329, 0.0000], [2.3861, 1.3776, 5.8121]],
  "species": ["Pb", "Pb", "Sr", "Li"],
  "fractional_positions": [[0.7813, 0.7813, 0.6561], [0.2187, 0.2187, 0.3439], [0.0000, 0.0000, 0.0000], [0.5000, 0.5000, 0.5000]],
  "ef_ev_per_atom": -0.5616
}

=====

# 2
{
  "formula": "CaY3",
  "functional": "SCAN",
  "state": "single point on PBEsol structure",
  "lattice_angstrom": [[3.5941, 0.0000, 0.0000], [0.0000, 5.7071, 0.0000], [0.0000, 0.0000, 6.3206]],
  "species": ["Y", "Y", "Y", "Ca"],
  "fractional_positions": [[0.5000, 0.0000, 0.5012], [0.5000, 0.5000, 0.8227], [0.0000, 0.5000, 0.3400], [0.0000, 0.0000, 0.0028]],
  "ef_ev_per_atom": 0.0784
}

=====

# 3
{
  "formula": "KCdHg2",
  "functional": "SCAN",
  "state": "single point on PBEsol structure",
  "lattice_angstrom": [[3.5383, 0.0000, 0.0000], [0.0000, 4.1816, 0.0000], [0.0000, 0.0000, 7.4731]],
  "species": ["K", "Hg", "Hg", "Cd"],
  "fractional_positions": [[0.0000, 0.0000, 0.4937], [0.0000, 0.0000, 0.9883], [0.5000, 0.5000, 0.2134], [0.5000, 0.5000, 0.8046]],
  "ef_ev_per_atom": -0.1729
}

=====

# 4
{
  "formula": "MgTeW3",
  "functional": "SCAN",
  "state": "single point on PBEsol structure",
  "lattice_angstrom": [[4.6091, 0.0000, 0.0000], [0.0000, 4.6091, 0.0000], [0.0000, 0.0000, 4.6091]],
  "species": ["Mg", "Te", "W", "W", "W"],
  "fractional_positions": [[0.0000, 0.0000, 0.0000], [0.5000, 0.5000, 0.5000], [0.0000, 0.5000, 0.0000], [0.0000, 0.0000, 0.5000], [0.5000, 0.0000, 0.0000]],
  "e_form_raw_ev_per_atom": 2.735
}